# YMg2Pb

A relaxed structure of YMg2Pb (PBEsol, the Alexandria database).

Values from the calculation:
total energy: -3.682 eV/atom
spin magnetization: 0.2 μB/f.u.
energy of formation: -118 meV/atom

Cell and atoms, written as extended XYZ:
```
4
Lattice="3.528 0.000 0.000 0.000 3.528 0.000 0.000 0.000 8.282" Properties=species:S:1:pos:R:3 pbc="T T T"
Y 0.000 0.000 0.000
Mg 1.764 1.764 2.207
Mg 1.764 1.764 6.076
Pb 0.000 0.000 4.141
```